*a*
A relaxed Pr3As4Rh4 crystal, computed with PBE.

Geometry as POSCAR:
```
Pr3As4Rh4
1.0
-0.6482 -1.1894 -4.0410
-0.5481 -3.8672 1.2262
-11.8323 4.7180 2.7568
Rh As Pr
4 4 3
Direct
0.0968 0.5968 0.1935 Rh
0.2488 0.2488 0.4976 Rh
0.9032 0.4032 0.8065 Rh
0.7512 0.7512 0.5024 Rh
0.4484 0.4484 0.8968 As
0.8070 0.3070 0.6140 As
0.1930 0.6930 0.3860 As
0.5516 0.5516 0.1032 As
0.6466 0.1466 0.2931 Pr
0.0000 0.0000 0.0000 Pr
0.3534 0.8534 0.7069 Pr
```

*b*
A relaxed Pr3As4Rh4 crystal, computed with PBE.

Geometry as POSCAR:
```
Pr3As4Rh4
1.0
-3.5918 -2.2035 1.2717
2.4078 -2.4772 2.5085
-0.9480 10.1605 7.3108
Pr As Rh
3 4 4
Direct
0.3516 0.8516 0.7032 Pr
0.0000 0.0000 0.0000 Pr
0.6484 0.1484 0.2968 Pr
0.2517 0.2517 0.5034 As
0.7483 0.7483 0.4966 As
0.9014 0.4014 0.8028 As
0.0986 0.5986 0.1972 As
0.4463 0.4463 0.8925 Rh
0.7996 0.2996 0.5991 Rh
0.2004 0.7004 0.4009 Rh
0.5537 0.5537 0.1075 Rh
```

Which of them is the most stable, and which is the least stable? *a* and *b*, in that order.

*a*
A relaxed PrAs2Ru crystal, computed with PBE.

Geometry as POSCAR:
```
PrAs2Ru
1.0
4.1268 0.0000 0.0000
0.0000 4.1268 0.0000
0.0000 0.0000 9.9942
Pr As Ru
2 4 2
Direct
0.0000 0.5000 0.2657 Pr
0.5000 0.0000 0.7343 Pr
0.5000 0.5000 0.5000 As
0.5000 0.0000 0.1339 As
0.0000 0.0000 0.5000 As
0.0000 0.5000 0.8661 As
0.0000 0.0000 0.0000 Ru
0.5000 0.5000 0.0000 Ru
```

*b*
A relaxed PrAs2Ru crystal, computed with PBE.

Geometry as POSCAR:
```
PrAs2Ru
1.0
4.1885 0.0013 0.0006
-0.0010 4.1889 -0.0012
-2.0934 -2.0928 5.0617
As Ru Pr
2 1 1
Direct
0.8562 0.5162 0.4981 As
0.5862 0.2463 0.9582 As
0.4711 0.6315 0.7282 Ru
0.2218 0.8807 0.2282 Pr
```

*c*
A relaxed PrAs2Ru crystal, computed with PBE.

Geometry as POSCAR:
```
PrAs2Ru
1.0
-1.3814 3.5280 1.7406
-3.7459 1.5090 -1.0375
-3.9562 -1.1637 4.2129
Ru As Pr
1 2 1
Direct
0.5000 0.5000 0.5000 Ru
0.2228 0.2228 0.3315 As
0.7772 0.7772 0.6685 As
0.0000 0.0000 0.0000 Pr
```

Which of them is the most stable, and which is the least stable? *a* and *b*, in that order.

*a*
A relaxed Pr3Sb2As crystal, computed with PBE.

Geometry as POSCAR:
```
Pr3Sb2As
1.0
0.0710 -2.2511 -7.4248
-4.2186 -4.9993 4.1725
-8.9063 10.9495 -0.6994
Sb Pr As
8 12 4
Direct
0.2512 0.2512 0.5024 Sb
0.9988 0.4988 0.9976 Sb
0.4182 0.4182 0.8365 Sb
0.8318 0.3318 0.6635 Sb
0.5012 0.0012 0.0024 Sb
0.5818 0.5818 0.1635 Sb
0.7488 0.7488 0.4976 Sb
0.6682 0.1682 0.3365 Sb
0.9253 0.9145 0.3284 Pr
0.4031 0.4139 0.3284 Pr
0.3247 0.8355 0.1716 Pr
0.0131 0.5131 0.5000 Pr
0.8469 0.3361 0.1716 Pr
0.0855 0.0747 0.6716 Pr
0.6639 0.1531 0.8284 Pr
0.5861 0.5969 0.6716 Pr
0.1645 0.6753 0.8284 Pr
0.4869 0.9869 0.5000 Pr
0.7631 0.7631 0.0000 Pr
0.2369 0.2369 0.0000 Pr
0.0834 0.0834 0.1668 As
0.3334 0.8334 0.6668 As
0.9166 0.9166 0.8332 As
0.1666 0.6666 0.3332 As
```

*b*
A relaxed Pr3Sb2As crystal, computed with PBE.

Geometry as POSCAR:
```
Pr3Sb2As
1.0
4.4598 0.0000 0.0000
0.0000 6.3392 0.0000
-2.2299 -3.1696 6.7320
Pr As Sb
3 1 2
Direct
0.8432 0.3432 0.1863 Pr
0.1568 0.6568 0.8137 Pr
0.5000 0.0000 0.5000 Pr
0.5000 0.5000 0.5000 As
0.1698 0.1698 0.8396 Sb
0.8302 0.8302 0.1604 Sb
```

Which of them is the most stable, and which is the least stable? *a* and *b*, in that order.

*a*
A relaxed Pr2AsSe crystal, computed with PBE.

Geometry as POSCAR:
```
Pr2AsSe
1.0
-1.0991 -3.2781 -2.5263
1.8945 -0.4974 -3.8078
5.2490 -5.2413 0.8885
Pr Se As
2 1 1
Direct
0.7464 0.7464 0.7609 Pr
0.2536 0.2536 0.2391 Pr
0.5000 0.5000 0.5000 Se
0.0000 0.0000 0.0000 As
```

*b*
A relaxed Pr2AsSe crystal, computed with PBE.

Geometry as POSCAR:
```
Pr2AsSe
1.0
4.2061 0.0000 0.0000
2.1030 3.6426 0.0000
2.1030 1.2142 7.4118
As Se Pr
1 1 2
Direct
0.6678 0.6678 0.9966 As
0.4988 0.4988 0.5036 Se
0.2563 0.2563 0.2312 Pr
0.0771 0.0771 0.7686 Pr
```

Which of them is the most stable, and which is the least stable? *a* and *b*, in that order.

*a*
A relaxed Pr5As4Se crystal, computed with PBE.

Geometry as POSCAR:
```
Pr5As4Se
1.0
4.3006 0.0000 0.0000
0.0000 4.3006 0.0000
-2.1503 -2.1503 15.2182
Se Pr As
1 5 4
Direct
0.0000 0.0000 0.0000 Se
0.2995 0.2995 0.5991 Pr
0.7005 0.7005 0.4009 Pr
0.1023 0.1023 0.2046 Pr
0.5000 0.5000 0.0000 Pr
0.8977 0.8977 0.7954 Pr
0.2000 0.2000 0.3999 As
0.8000 0.8000 0.6001 As
0.4013 0.4013 0.8026 As
0.5987 0.5987 0.1974 As
```

*b*
A relaxed Pr5As4Se crystal, computed with PBE.

Geometry as POSCAR:
```
Pr5As4Se
1.0
-3.6475 2.2821 -0.0211
0.1629 0.2042 -6.0738
-3.9633 -10.3665 2.5876
As Pr Se
4 5 1
Direct
0.1998 0.1998 0.3996 As
0.4009 0.4009 0.8019 As
0.8002 0.8002 0.6004 As
0.5991 0.5991 0.1981 As
0.8002 0.3002 0.6005 Pr
0.6041 0.1041 0.2081 Pr
0.0000 0.5000 0.0000 Pr
0.3959 0.8959 0.7919 Pr
0.1998 0.6998 0.3995 Pr
0.0000 0.0000 0.0000 Se
```

Which of them is the most stable, and which is the least stable? *b* and *a*, in that order.